# AcThTe2

An optimized crystal structure of AcThTe2 (PBE, Alexandria).

Computed properties:
Symmetry ... No. 160
E_form (uncorrected) ... -1.200 eV per atom
E above lowest polymorph ... 0.0280 eV per atom

Cell lengths 4.3095, 4.3095, 8.9128 Å; angles 76.01, 76.01, 60.00 degrees
Fractional coordinates of all 4 atoms:
Ac: 0.4979 0.4979 0.5063
Te: 0.2549 0.2549 0.2353
Te: 0.0789 0.0789 0.7633
Th: 0.6683 0.6683 0.9951